[1]
# SiIr2Ru

A relaxed structure of SiIr2Ru (PBE, Alexandria via LeMat-Bulk).

Unit cell a=4.562 b=2.755 c=4.635 alpha=90.00 beta=107.34 gamma=90.00
Sites, in units of the cell vectors:
Si: 0.000 0.000 0.000
Ir: 0.000 0.500 0.500
Ir: 0.500 0.000 0.500
Ru: 0.500 0.500 0.000

symmetry = P2/m
density of states at the Fermi level = 2.81 states/eV/cell
formation energy without anion corrections = -61 kJ/mol of formula units
ρ = 15.33 g cm⁻³



[2]
# SiIrRu2

A relaxed structure of SiIrRu2 (PBE, Alexandria via LeMat-Bulk).

Unit cell a=2.772 b=2.772 c=24.795 alpha=90.00 beta=90.00 gamma=120.00
Sites, in units of the cell vectors:
Si: 0.000 0.000 0.000
Si: 0.333 0.667 0.667
Si: 0.667 0.333 0.333
Ir: 0.000 0.000 0.256
Ir: 0.333 0.667 0.923
Ir: 0.667 0.333 0.589
Ru: 0.000 0.000 0.498
Ru: 0.000 0.000 0.745
Ru: 0.333 0.667 0.165
Ru: 0.333 0.667 0.411
Ru: 0.667 0.333 0.078
Ru: 0.667 0.333 0.831

symmetry = R3m
density of states at the Fermi level = 13.60 states/eV/cell
formation energy without anion corrections = -54 kJ/mol of formula units
ρ = 12.75 g cm⁻³



[3]
# SiIrRu2

A relaxed structure of SiIrRu2 (PBE, Alexandria via LeMat-Bulk).

Unit cell a=2.834 b=2.834 c=6.713 alpha=90.00 beta=90.00 gamma=90.00
Sites, in units of the cell vectors:
Si: 0.000 0.000 0.000
Ir: 0.000 0.000 0.500
Ru: 0.500 0.500 0.217
Ru: 0.500 0.500 0.783

symmetry = P4/mmm
density of states at the Fermi level = 3.40 states/eV/cell
formation energy without anion corrections = -105 kJ/mol of formula units
ρ = 13.01 g cm⁻³



[4]
# Si3IrRu

A relaxed structure of Si3IrRu (PBE, Alexandria via LeMat-Bulk).

Unit cell a=4.502 b=4.502 c=4.502 alpha=90.00 beta=90.00 gamma=90.00
Sites, in units of the cell vectors:
Si: 0.000 0.000 0.500
Si: 0.000 0.500 0.000
Si: 0.500 0.000 0.000
Ir: 0.500 0.500 0.500
Ru: 0.000 0.000 0.000

symmetry = Pm-3m
density of states at the Fermi level = 4.86 states/eV/cell
formation energy without anion corrections = 376 kJ/mol of formula units
ρ = 6.87 g cm⁻³
E above lowest polymorph = 0 meV/atom



[5]
# Si2Ir2Ru

A relaxed structure of Si2Ir2Ru (PBE, Alexandria via LeMat-Bulk).

Unit cell a=4.000 b=4.000 c=5.170 alpha=90.00 beta=90.00 gamma=120.00
Sites, in units of the cell vectors:
Si: 0.333 0.667 0.301
Si: 0.667 0.333 0.699
Ir: 0.333 0.667 0.828
Ir: 0.667 0.333 0.172
Ru: 0.000 0.000 0.500

symmetry = P-3m1
density of states at the Fermi level = 3.51 states/eV/cell
formation energy without anion corrections = -267 kJ/mol of formula units
ρ = 12.56 g cm⁻³
E above lowest polymorph = 0 meV/atom



[6]
# SiIr2Ru

A relaxed structure of SiIr2Ru (PBE, Alexandria via LeMat-Bulk).

Unit cell a=2.789 b=2.789 c=24.761 alpha=90.00 beta=90.00 gamma=120.00
Sites, in units of the cell vectors:
Si: 0.000 0.000 0.000
Si: 0.333 0.667 0.667
Si: 0.667 0.333 0.333
Ir: 0.000 0.000 0.257
Ir: 0.000 0.000 0.743
Ir: 0.333 0.667 0.410
Ir: 0.333 0.667 0.924
Ir: 0.667 0.333 0.076
Ir: 0.667 0.333 0.590
Ru: 0.000 0.000 0.500
Ru: 0.333 0.667 0.167
Ru: 0.667 0.333 0.833

symmetry = R-3m
density of states at the Fermi level = 4.55 states/eV/cell
formation energy without anion corrections = -76 kJ/mol of formula units
ρ = 15.34 g cm⁻³



[7]
# SiIr2Ru2

A relaxed structure of SiIr2Ru2 (PBE, Alexandria via LeMat-Bulk).

Unit cell a=7.486 b=7.486 c=2.756 alpha=90.00 beta=90.00 gamma=90.00
Sites, in units of the cell vectors:
Si: 0.000 0.000 0.000
Si: 0.500 0.500 0.000
Ir: 0.125 0.375 0.500
Ir: 0.375 0.875 0.500
Ir: 0.625 0.125 0.500
Ir: 0.875 0.625 0.500
Ru: 0.173 0.673 0.000
Ru: 0.327 0.173 0.000
Ru: 0.673 0.827 0.000
Ru: 0.827 0.327 0.000

symmetry = P4/mbm
density of states at the Fermi level = 14.75 states/eV/cell
formation energy without anion corrections = 173 kJ/mol of formula units
ρ = 13.22 g cm⁻³
E above lowest polymorph = 0 meV/atom



[8]
# SiIr2Ru

A relaxed structure of SiIr2Ru (PBE, Alexandria via LeMat-Bulk).

Unit cell a=2.789 b=2.789 c=24.764 alpha=90.00 beta=90.00 gamma=120.00
Sites, in units of the cell vectors:
Si: 0.000 0.000 0.000
Si: 0.333 0.667 0.667
Si: 0.667 0.333 0.333
Ir: 0.000 0.000 0.502
Ir: 0.000 0.000 0.743
Ir: 0.333 0.667 0.169
Ir: 0.333 0.667 0.409
Ir: 0.667 0.333 0.076
Ir: 0.667 0.333 0.836
Ru: 0.000 0.000 0.256
Ru: 0.333 0.667 0.923
Ru: 0.667 0.333 0.590

symmetry = R3m
density of states at the Fermi level = 11.15 states/eV/cell
formation energy without anion corrections = -72 kJ/mol of formula units
ρ = 15.33 g cm⁻³



[9]
# SiIr2Ru

A relaxed structure of SiIr2Ru (PBE, Alexandria via LeMat-Bulk).

Unit cell a=2.835 b=4.324 c=9.085 alpha=90.00 beta=90.00 gamma=90.00
Sites, in units of the cell vectors:
Si: 0.000 0.000 0.000
Si: 0.500 0.500 0.500
Ir: 0.000 0.000 0.502
Ir: 0.000 0.500 0.714
Ir: 0.500 0.000 0.214
Ir: 0.500 0.500 0.002
Ru: 0.000 0.500 0.288
Ru: 0.500 0.000 0.788

symmetry = Imm2
density of states at the Fermi level = 9.26 states/eV/cell
formation energy without anion corrections = -86 kJ/mol of formula units
ρ = 15.32 g cm⁻³



[10]
# SiIr2Ru

A relaxed structure of SiIr2Ru (PBE, Alexandria via LeMat-Bulk).

Unit cell a=2.802 b=3.983 c=5.179 alpha=90.00 beta=103.98 gamma=90.00
Sites, in units of the cell vectors:
Si: 0.000 0.000 0.000
Ir: 0.371 0.500 0.240
Ir: 0.629 0.500 0.760
Ru: 0.000 0.000 0.500

symmetry = P2/m
density of states at the Fermi level = 3.11 states/eV/cell
formation energy without anion corrections = -78 kJ/mol of formula units
ρ = 15.20 g cm⁻³



[11]
# SiIrRu2

A relaxed structure of SiIrRu2 (PBE, Alexandria via LeMat-Bulk).

Unit cell a=2.795 b=4.748 c=8.490 alpha=90.00 beta=90.00 gamma=90.00
Sites, in units of the cell vectors:
Si: 0.000 0.000 0.000
Si: 0.500 0.500 0.000
Ir: 0.000 0.000 0.500
Ir: 0.500 0.500 0.500
Ru: 0.000 0.500 0.226
Ru: 0.000 0.500 0.774
Ru: 0.500 0.000 0.226
Ru: 0.500 0.000 0.774

symmetry = Cmmm
density of states at the Fermi level = 9.89 states/eV/cell
formation energy without anion corrections = 46 kJ/mol of formula units
ρ = 12.45 g cm⁻³



[12]
# SiIr2Ru

A relaxed structure of SiIr2Ru (PBE, Alexandria via LeMat-Bulk).

Unit cell a=4.552 b=4.552 c=2.734 alpha=90.00 beta=90.00 gamma=90.00
Sites, in units of the cell vectors:
Si: 0.000 0.000 0.000
Ir: 0.000 0.500 0.500
Ir: 0.500 0.000 0.500
Ru: 0.500 0.500 0.000

symmetry = P4/mmm
density of states at the Fermi level = 4.05 states/eV/cell
formation energy without anion corrections = 14 kJ/mol of formula units
ρ = 15.06 g cm⁻³



[13]
# SiIrRu2

A relaxed structure of SiIrRu2 (PBE, Alexandria via LeMat-Bulk).

Unit cell a=2.828 b=2.828 c=6.780 alpha=90.00 beta=90.00 gamma=90.00
Sites, in units of the cell vectors:
Si: 0.000 0.000 0.000
Ir: 0.500 0.500 0.218
Ru: 0.000 0.000 0.512
Ru: 0.500 0.500 0.784

symmetry = P4mm
density of states at the Fermi level = 3.38 states/eV/cell
formation energy without anion corrections = -93 kJ/mol of formula units
ρ = 12.94 g cm⁻³



[14]
# SiIrRu

A relaxed structure of SiIrRu (PBE, Alexandria via LeMat-Bulk).

Unit cell a=2.848 b=4.795 c=12.420 alpha=90.00 beta=90.00 gamma=90.00
Sites, in units of the cell vectors:
Si: 0.000 0.000 0.000
Si: 0.000 0.500 0.500
Si: 0.500 0.000 0.500
Si: 0.500 0.500 0.000
Ir: 0.000 0.000 0.346
Ir: 0.000 0.500 0.846
Ir: 0.500 0.000 0.846
Ir: 0.500 0.500 0.346
Ru: 0.000 0.000 0.648
Ru: 0.000 0.500 0.148
Ru: 0.500 0.000 0.148
Ru: 0.500 0.500 0.648

symmetry = Fmm2
density of states at the Fermi level = 11.73 states/eV/cell
formation energy without anion corrections = -12 kJ/mol of formula units
ρ = 12.58 g cm⁻³
E above lowest polymorph = 320 meV/atom



[15]
# SiIrRu2

A relaxed structure of SiIrRu2 (PBE, Alexandria via LeMat-Bulk).

Unit cell a=2.760 b=2.760 c=24.923 alpha=90.00 beta=90.00 gamma=120.00
Sites, in units of the cell vectors:
Si: 0.000 0.000 0.000
Si: 0.333 0.667 0.667
Si: 0.667 0.333 0.333
Ir: 0.000 0.000 0.500
Ir: 0.333 0.667 0.167
Ir: 0.667 0.333 0.833
Ru: 0.000 0.000 0.256
Ru: 0.000 0.000 0.744
Ru: 0.333 0.667 0.411
Ru: 0.333 0.667 0.923
Ru: 0.667 0.333 0.077
Ru: 0.667 0.333 0.589

symmetry = R-3m
density of states at the Fermi level = 7.89 states/eV/cell
formation energy without anion corrections = -61 kJ/mol of formula units
ρ = 12.80 g cm⁻³